SrReS2: single point on PBEsol structure, meta-GGA SCAN.

Results
The raw formation energy is -0.1394 eV per atom. Its space-group type is No. 166. The calculation puts the total magnetic moment at 4.22 Bohr magnetons per cell. As for the density of states at the Fermi level: 0.98 states/eV per atom.

```
4
Lattice="4.3577 0.0000 0.0000 2.1788 3.7738 0.0000 2.1788 1.2579 7.4403" Properties=species:S:1:pos:R:3 pbc="T T T"
Re 0.0000 0.0000 0.0000
S 6.5365 3.7738 2.2427
S 2.1788 1.2579 5.1976
Sr 4.3577 2.5159 3.7202
```